! CsIn2Au2 | the Alexandria database | GGA-PBE | optimized geometry; values from VASP
&SYSTEM
  ibrav = 0, nat = 10, ntyp = 3
/
ATOMIC_SPECIES
Cs 132.91 Cs.upf
Au 196.97 Au.upf
In 114.82 In.upf
CELL_PARAMETERS angstrom
-1.679 6.697 0.042
-6.683 -1.678 0.427
4.617 -2.445 6.838
ATOMIC_POSITIONS angstrom
Cs -3.167 -0.813 3.051
Cs -3.788 2.567 6.609
Au -0.150 1.357 2.981
Au 2.415 0.565 6.380
Au 0.517 -1.303 2.964
Au -1.613 -0.446 6.638
In -5.707 2.112 2.532
In 0.775 -1.631 5.716
In -0.069 1.736 5.738
In -2.385 2.946 2.319
! ΔE to the lowest computed polymorph ... 89.2 meV per atom
! E ... -2.746 eV/atom
! Mass density ... 7.44 g/cm³
! DFT formation energy ... -169 meV/atom
! Crystal system ... tetragonal